# 1
The following is a PBE calculation of a relaxed structure of Tc2HgCl, from Alexandria via LeMat-Bulk.

Unit cell a=2.9259 b=2.9259 c=29.9813 alpha=90.00 beta=90.00 gamma=120.00
Closest atoms and distances in Å follow each position.
Space group R3m (No. 160, hexagonal axes)
Asymmetric unit:
Tc  0.0000  0.0000  0.0000 [3 per cell]  3 Cl 2.53, 3 Tc 2.63
Tc  0.0000  0.0000  0.2663 [3 per cell]  9 Tc 2.63-2.93
Hg  0.0000  0.0000  0.5150 [3 per cell]  6 Hg 2.93, 3 Tc 3.05
Cl  0.0000  0.0000  0.7294 [3 per cell]  3 Tc 2.53

Results
ρ (g cm⁻³): 9.68
Magnetic moment (μB per formula unit): 0.0
ΔE_f (raw) (meV per atom): 165
Distance to the lowest polymorph of the same formula (meV per atom): 105
Crystal system: trigonal


# 2
The following is a PBE calculation of a relaxed structure of PaSiBrO4, from Alexandria via LeMat-Bulk.

Unit cell a=10.1221 b=6.8482 c=6.6673 alpha=90.00 beta=105.72 gamma=90.00
Closest atoms and distances in Å follow each position.
Space group C2/m (No. 12)
Asymmetric unit:
Pa  0.2479  0.0000  0.3463 [4 per cell]  4 O 2.11-2.23
Si  0.1361  0.0000  0.7664 [4 per cell]  4 O 1.63-1.67
Br  0.0165  0.5000  0.2577 [4 per cell]  2 Pa 2.93-3.04, 5 O 3.10-3.20
O  0.0313  0.0000  0.2851 [4 per cell]  1 Si 1.63
O  0.1941  0.1855  0.6524 [8 per cell]  1 Si 1.67
O  0.2029  0.0000  0.0187 [4 per cell]  1 Si 1.63

Results
ρ (g cm⁻³): 6.02
Magnetic moment (μB per formula unit): 0.0
ΔE_f (raw) (meV per atom): -2838
Crystal system: monoclinic


# 3
The following is a PBE calculation of a relaxed structure of EuMgBi2, from Alexandria via LeMat-Bulk.

Unit cell a=7.8314 b=7.8314 c=7.8314 alpha=90.00 beta=90.00 gamma=90.00
Closest atoms and distances in Å follow each position.
Space group Fm-3m (No. 225)
Asymmetric unit:
Eu  0.0000  0.0000  0.0000 [4 per cell]  8 Bi 3.39
Mg  0.0000  0.0000  0.5000 [4 per cell]  8 Bi 3.39
Bi  0.2500  0.2500  0.2500 [8 per cell]  4 Mg 3.39, 4 Eu 3.39

Results
ρ (g cm⁻³): 8.22
DFT formation energy (meV per atom): -377
Magnetic moment (μB per formula unit): 7.1
Crystal system: cubic